Entry 1:
18
Lattice="7.028 0.000 0.000 -3.514 6.086 0.000 0.000 0.000 13.784" Properties=species:S:1:pos:R:3 comment="TlCdPbCl6, optimized geometry, DFT PBE-GGA" dft_energy_ev_per_atom=-2.9565 raw_formation_energy_ev_per_atom=-0.9487 dos_ef_per_ev_atom=0.676 m_tot_mub_per_cell=0.0 pbc="T T T"
Cl 1.331 2.194 11.876
Cl 4.748 3.837 11.876
Cl -1.235 2.249 1.908
Cl 4.463 0.056 11.876
Cl 2.565 0.056 8.800
Cl 5.697 2.194 8.800
Cl -2.183 3.892 4.984
Cl -0.949 6.031 1.908
Cl 0.949 6.031 4.984
Cl 2.183 3.892 1.908
Cl 1.235 2.249 4.984
Cl 2.279 3.837 8.800
Cd 3.514 2.029 10.338
Cd 0.000 4.057 3.446
Pb 3.514 2.029 3.446
Pb 0.000 4.057 10.338
Tl 0.000 0.000 0.000
Tl 0.000 0.000 6.892



Entry 2:
10
Lattice="7.047 0.000 0.000 0.000 7.047 0.000 0.000 0.000 4.576" Properties=species:S:1:pos:R:3 comment="CdPd2Cl2, optimized geometry, DFT PBE-GGA" relative_energy_mev_per_atom=0 dft_energy_ev_per_atom=-3.2068 raw_formation_energy_ev_per_atom=-0.2079 dos_ef_per_ev_atom=0.655 m_tot_mub_per_cell=0.0 pbc="T T T"
Pd 0.971 2.552 0.000
Pd 4.494 0.971 0.000
Pd 6.076 4.494 0.000
Pd 2.552 6.076 0.000
Cl 4.862 1.339 2.288
Cl 2.185 5.708 2.288
Cl 5.708 4.862 2.288
Cl 1.339 2.185 2.288
Cd 0.000 0.000 0.000
Cd 3.523 3.523 0.000



Entry 3:
11
Lattice="-5.525 3.420 -0.166 1.922 2.480 7.465 4.435 6.299 2.494" Properties=species:S:1:pos:R:3 comment="Cd2PdCl8, optimized geometry, DFT PBE-GGA" dft_energy_ev_per_atom=-2.6691 raw_formation_energy_ev_per_atom=-0.6876 m_tot_mub_per_cell=0.0 pbc="T T T"
Cl -3.856 4.225 1.296
Cl -2.020 5.517 5.593
Cl -0.322 4.221 3.080
Cl -0.719 7.494 3.019
Cl 1.153 7.978 6.713
Cl 1.551 4.705 6.774
Cl 2.852 6.682 4.201
Cl 4.688 7.974 8.497
Cd 2.466 9.220 8.331
Cd -1.635 2.979 1.463
Pd 0.000 0.000 0.000



Entry 4:
8
Lattice="0.968 5.768 4.486 -2.549 0.244 -5.780 -4.438 -3.892 2.915" Properties=species:S:1:pos:R:3 comment="CdPdCl6, optimized geometry, DFT PBE-GGA" relative_energy_mev_per_atom=0 dft_energy_ev_per_atom=-2.7016 raw_formation_energy_ev_per_atom=-0.5531 m_tot_mub_per_cell=0.0 pbc="T T T"
Cl -0.459 4.318 0.630
Cl -1.243 1.329 1.868
Cl -4.775 0.792 -0.248
Cl -5.225 -1.810 -2.300
Cl -1.122 1.695 -1.925
Cl -0.793 3.930 3.921
Pd 0.484 2.884 2.243
Cd 0.000 0.000 0.000



Entry 5:
14
Lattice="6.285 0.429 -1.789 -0.686 6.262 -1.789 -0.116 -0.138 9.457" Properties=species:S:1:pos:R:3 comment="CdPdCl5, optimized geometry, DFT PBE-GGA" dft_energy_ev_per_atom=-2.8632 raw_formation_energy_ev_per_atom=-0.6717 dos_ef_per_ev_atom=0.120 m_tot_mub_per_cell=0.0 pbc="T T T"
Cl 1.281 1.714 1.470
Cl 3.360 4.484 1.032
Cl 0.966 4.612 -1.578
Cl 4.520 5.870 -1.669
Cl 4.202 4.839 4.410
Cl 2.124 2.069 4.848
Cl 0.964 0.683 7.549
Cl 4.658 1.941 2.730
Cl 0.826 4.612 3.150
Cl 4.518 1.941 7.458
Pd 0.000 0.000 0.000
Pd 2.742 3.276 2.940
Cd -0.042 2.703 6.199
Cd 5.525 3.850 -0.319



Entry 6:
5
Lattice="4.212 0.000 0.000 0.000 4.212 0.000 2.106 2.106 5.779" Properties=species:S:1:pos:R:3 comment="CdPd2Cl2, optimized geometry, DFT PBE-GGA" relative_energy_mev_per_atom=380 dft_energy_ev_per_atom=-2.8272 raw_formation_energy_ev_per_atom=0.1716 dos_ef_per_ev_atom=1.257 m_tot_mub_per_cell=1.5 pbc="T T T"
Cl 2.106 4.212 2.889
Cl 4.212 2.106 2.889
Pd 4.212 4.212 4.464
Pd 2.106 2.106 1.315
Cd 0.000 0.000 0.000



Entry 7:
5
Lattice="5.153 0.000 0.000 0.000 5.153 0.000 0.000 0.000 5.153" Properties=species:S:1:pos:R:3 comment="CdPdCl3, optimized geometry, DFT PBE-GGA" relative_energy_mev_per_atom=198 dft_energy_ev_per_atom=-2.4726 raw_formation_energy_ev_per_atom=-0.1431 dos_ef_per_ev_atom=3.008 m_tot_mub_per_cell=1.0 pbc="T T T"
Cl 2.576 0.000 0.000
Cl 0.000 0.000 2.576
Cl 0.000 2.576 0.000
Pd 2.576 2.576 2.576
Cd 0.000 0.000 0.000



Entry 8:
8
Lattice="-3.228 0.751 -2.321 -2.431 -0.682 3.161 -2.375 9.136 2.734" Properties=species:S:1:pos:R:3 comment="CdPd2Cl, optimized geometry, DFT PBE-GGA" relative_energy_mev_per_atom=30 dft_energy_ev_per_atom=-3.2418 raw_formation_energy_ev_per_atom=0.0450 dos_ef_per_ev_atom=0.664 m_tot_mub_per_cell=0.0 pbc="T T T"
Pd -3.917 6.875 2.382
Pd -2.534 1.955 2.357
Pd -2.899 2.664 -0.360
Pd -6.721 6.916 2.770
Cd 0.000 0.000 0.000
Cd -4.217 4.961 0.417
Cl -2.830 0.034 0.420
Cl -3.818 4.244 3.158